Pm2Ho7Mg | PBE | optimized geometry

Values from the calculation:
The value obtained for the density of states at the Fermi level is 10.002 states/eV/f.u. As for the volume: 37.577 A^3/atom. For the total energy, the calculation gives -72.86 eV/cell.

CIF file:
```
data_Pm2Ho7Mg
_cell_length_a 8.611
_cell_length_b 16.780
_cell_length_c 5.201
_cell_angle_alpha 90.00
_cell_angle_beta 90.00
_cell_angle_gamma 90.00
_symmetry_space_group_name_H-M 'C m m m'
_symmetry_Int_Tables_number 65
_symmetry_space_group_name_Hall '-C 2 2'
loop_
_atom_site_label
_atom_site_type_symbol
_atom_site_fract_x
_atom_site_fract_y
_atom_site_fract_z
_atom_site_occupancy
Pm1 Pm 0.000 0.205 0.000 1
Ho1 Ho 0.000 0.000 0.000 1
Ho2 Ho 0.000 0.302 0.500 1
Ho3 Ho 0.178 0.396 0.000 1
Mg1 Mg 0.000 0.500 0.500 1
```